This record from the Alexandria database describes a geometry-optimized MgUMn2O8 structure. The functional is PBE with a Hubbard U.

Properties
Space-group type: I-4 (82)
DFT total energy in eV per atom: -7.53

Structure (POSCAR):
```
MgUMn2O8
1.0
5.035 0.000 0.000
0.000 5.035 0.000
-2.517 -2.517 5.479
Mg U Mn O
1 1 2 8
Cartesian
0.000 0.000 0.000
2.517 0.000 2.740
2.517 2.517 0.000
0.000 2.517 2.740
3.432 3.731 0.860
1.602 1.304 0.860
1.492 1.594 3.524
-1.492 -1.594 3.524
4.111 1.025 1.955
0.924 4.010 1.955
-1.213 0.915 4.619
1.213 -0.915 4.619
```